# 1
Material: Ce2Y8Ho3
Method: DFT, PBE-GGA
State: optimized geometry

Cell lengths 11.613, 20.797, 3.492 Å; angles 90.00, 90.00, 90.00 degrees
Space group Pbam (No. 55)
One atom of each set of equivalent atoms:
Ce: 0.179 0.095 0.000
Y: 0.046 0.839 0.500
Y: 0.048 0.572 0.000
Y: 0.124 0.289 0.000
Y: 0.211 0.447 0.500
Ho: 0.000 0.000 0.500
Ho: 0.155 0.700 0.500

Summary:
Spin magnetization, μB/f.u.: 1.8
Energy of formation, eV per atom: 0.168
Total DFT energy (no corrections), eV/atom: -5.78

---

# 2
Material: CeMnAu2
Method: DFT, PBE-GGA
State: optimized geometry

Cell lengths 3.368, 3.368, 7.167 Å; angles 90.00, 90.00, 90.00 degrees
Space group P4/mmm (No. 123)
One atom of each set of equivalent atoms:
Ce: 0.000 0.000 0.000
Mn: 0.000 0.000 0.500
Au: 0.500 0.500 0.292

Summary:
Spin magnetization, μB/f.u.: 3.5
Energy of formation, eV per atom: -0.320
Total DFT energy (no corrections), eV/atom: -5.73

---

# 3
Material: Mg5GeAu6
Method: DFT, PBE-GGA
State: optimized geometry

Cell lengths 4.720, 6.545, 7.418 Å; angles 90.00, 108.19, 90.00 degrees
Space group P2/m (No. 10)
One atom of each set of equivalent atoms:
Mg: 0.000 0.000 0.000
Mg: 0.331 0.000 0.663
Mg: 0.334 0.500 0.668
Ge: 0.000 0.500 0.000
Au: 0.169 0.251 0.337
Au: 0.500 0.245 0.000

Summary:
Spin magnetization, μB/f.u.: 0.0
Energy of formation, eV per atom: -0.492
Total DFT energy (no corrections), eV/atom: -3.18

---

# 4
Material: CrRe2B
Method: DFT, PBE-GGA
State: optimized geometry

Cell lengths 5.323, 2.886, 6.381 Å; angles 90.00, 103.79, 90.00 degrees
Space group P2_1/m (No. 11)
One atom of each set of equivalent atoms:
Cr: 0.069 0.250 0.355
Re: 0.235 0.250 0.965
Re: 0.394 0.750 0.643
B: 0.283 0.750 0.236

Summary:
Spin magnetization, μB/f.u.: 0.0
Energy of formation, eV per atom: -0.109
Total DFT energy (no corrections), eV/atom: -10.41

---

# 5
Material: SiRh2
Method: DFT, PBE-GGA
State: optimized geometry

Cell lengths 9.780, 2.831, 6.018 Å; angles 90.00, 94.58, 90.00 degrees
Space group Cm (No. 8)
One atom of each set of equivalent atoms:
Si: 0.000 0.000 0.000
Si: 0.242 0.500 0.429
Rh: 0.091 0.000 0.627
Rh: 0.203 0.500 0.038
Rh: 0.362 0.000 0.738
Rh: 0.436 0.000 0.299

Summary:
Spin magnetization, μB/f.u.: 0.0
Formation energy from raw total energies, meV/atom: -571.3
Total DFT energy (no corrections), eV/atom: -7.28

---

# 6
Material: CaLuCuRh
Method: DFT, PBE-GGA
State: optimized geometry

Cell lengths 6.830, 6.830, 6.830 Å; angles 90.00, 90.00, 90.00 degrees
Space group F-43m (No. 216)
One atom of each set of equivalent atoms:
Ca: 0.000 0.000 0.000
Lu: 0.000 0.000 0.500
Cu: 0.250 0.250 0.250
Rh: 0.250 0.250 0.750

Summary:
Spin magnetization, μB/f.u.: 0.0
Energy of formation, eV per atom: -0.408
Total DFT energy (no corrections), eV/atom: -4.90

---

# 7
Material: Ba3TiNi
Method: DFT, PBE-GGA
State: optimized geometry

Cell lengths 5.986, 5.986, 5.986 Å; angles 90.00, 90.00, 90.00 degrees
Space group Pm-3m (No. 221)
One atom of each set of equivalent atoms:
Ba: 0.000 0.000 0.500
Ti: 0.500 0.500 0.500
Ni: 0.000 0.000 0.000

Summary:
Spin magnetization, μB/f.u.: 0.0
Energy of formation, eV per atom: 0.662
Total DFT energy (no corrections), eV/atom: -3.23

---

# 8
Material: CsHRuSe
Method: DFT, PBE-GGA
State: optimized geometry

Cell lengths 4.1402, 4.1402, 6.2597 Å; angles 90.00, 90.00, 120.00 degrees
Space group P3m1 (No. 156)
One atom of each set of equivalent atoms:
Cs: 0.0000 0.0000 0.0000
H: 0.3333 0.6667 0.2338
Ru: 0.6667 0.3333 0.5447
Se: 0.3333 0.6667 0.4889

Summary:
Spin magnetization, μB/f.u.: 0.0
Total DFT energy (no corrections), eV/atom: -3.95

---

# 9
Material: CsBaLi2Bi
Method: DFT, PBE-GGA
State: optimized geometry

Cell lengths 5.435, 5.435, 6.828 Å; angles 90.00, 90.00, 90.00 degrees
Space group P4/mmm (No. 123)
One atom of each set of equivalent atoms:
Cs: 0.000 0.000 0.000
Ba: 0.000 0.000 0.500
Li: 0.000 0.500 0.000
Bi: 0.500 0.500 0.500

Summary:
Spin magnetization, μB/f.u.: 0.0
Energy of formation, eV per atom: 0.579
Total DFT energy (no corrections), eV/atom: -1.52

---

# 10
Material: Rb2Na15Li2
Method: DFT, PBE-GGA
State: optimized geometry

Cell lengths 12.2280, 12.2280, 18.1115 Å; angles 90.00, 90.00, 120.00 degrees
Space group R-3m (No. 166, hexagonal axes)
One atom of each set of equivalent atoms:
Rb: 0.0000 0.0000 0.1588
Na: 0.0000 0.2833 0.5000
Na: 0.0000 0.5000 0.0000
Na: 0.0107 0.5054 0.3502
Li: 0.0000 0.0000 0.4125

Summary:
Spin magnetization, μB/f.u.: 0.0
Energy of formation, eV per atom: 0.046
Total DFT energy (no corrections), eV/atom: -1.30

---

# 11
Material: CsKBa2As
Method: DFT, PBE-GGA
State: optimized geometry

Cell lengths 6.551, 6.551, 7.071 Å; angles 90.00, 90.00, 90.00 degrees
Space group P4/mmm (No. 123)
One atom of each set of equivalent atoms:
Cs: 0.000 0.000 0.000
K: 0.500 0.500 0.000
Ba: 0.000 0.500 0.500
As: 0.500 0.500 0.500

Summary:
Spin magnetization, μB/f.u.: 0.0
Energy of formation, eV per atom: -0.349
Total DFT energy (no corrections), eV/atom: -2.44

---

# 12
Material: LaTbPmTl
Method: DFT, PBE-GGA
State: optimized geometry

Cell lengths 7.857, 7.857, 7.857 Å; angles 90.00, 90.00, 90.00 degrees
Space group F-43m (No. 216)
One atom of each set of equivalent atoms:
La: 0.000 0.000 0.000
Tb: 0.250 0.250 0.750
Pm: 0.250 0.250 0.250
Tl: 0.000 0.000 0.500

Summary:
Spin magnetization, μB/f.u.: 0.0
Energy of formation, eV per atom: -0.032
Total DFT energy (no corrections), eV/atom: -4.20